Here is a relaxed structure of Rb2AlRh from Alexandria via LeMat-Bulk. Energies are from PBE.

Summary:
D(E_F)	0.3	states/eV/f.u.
ΔE_f	249	meV/atom

Cell: 12.7173 12.7173 4.6935 Å, 90.00 90.00 90.00°
With the nearest neighbours (Å) after each atom.
Space group I-42d (No. 122)
Symmetry-distinct sites (fractional):
Rb 0.0598 0.2500 0.1250 x8  2 Rh 3.32, 2 Al 3.71
Al 0.0000 0.0000 0.5000 x4  2 Rh 2.35
Rh 0.0000 0.0000 0.0000 x4  2 Al 2.35

Here is a relaxed structure of RbAl2Rh from Alexandria via LeMat-Bulk. Energies are from PBE.

Summary:
D(E_F)	4.8	states/eV/f.u.
ΔE_f	541	meV/atom
offset from the most stable computed form	624	meV/atom

Cell: 6.9042 6.9042 6.9042 Å, 90.00 90.00 90.00°
With the nearest neighbours (Å) after each atom.
Space group Fm-3m (No. 225)
Symmetry-distinct sites (fractional):
Rb 0.0000 0.0000 0.0000 x4  8 Al 2.99
Al 0.2500 0.2500 0.2500 x8  4 Rb 2.99, 4 Rh 2.99
Rh 0.0000 0.0000 0.5000 x4  8 Al 2.99

Here is a relaxed structure of RbAl2RhSe from Alexandria via LeMat-Bulk. Energies are from PBE.

Summary:
D(E_F)	4.6	states/eV/f.u.
total DFT energy (no corrections)	-2.03	eV/atom

Cell: 5.7804 5.7804 5.7578 Å, 90.00 90.00 90.00°
With the nearest neighbours (Å) after each atom.
Space group P4/mmm (No. 123)
Symmetry-distinct sites (fractional):
Rb 0.0000 0.0000 0.0000 x1  2 Se 2.88, 4 Al 2.89
Al 0.0000 0.5000 0.0000 x2  2 Rb 2.89
Rh 0.5000 0.5000 0.5000 x1  8 Al 4.08, 4 Se 4.09
Se 0.0000 0.0000 0.5000 x1  2 Rb 2.88

Here is a relaxed structure of RbAlSiRh2 from Alexandria via LeMat-Bulk. Energies are from PBE.

Summary:
D(E_F)	0.9	states/eV/f.u.
total DFT energy (no corrections)	-4.66	eV/atom

Cell: 4.6410 4.6410 4.9108 Å, 90.00 90.00 90.00°
With the nearest neighbours (Å) after each atom.
Space group P4/mmm (No. 123)
Symmetry-distinct sites (fractional):
Rb 0.0000 0.0000 0.0000 x1  4 Al 3.28, 8 Rh 3.38
Al 0.5000 0.5000 0.0000 x1  2 Si 2.46
Si 0.5000 0.5000 0.5000 x1  4 Rh 2.32, 2 Al 2.46
Rh 0.0000 0.5000 0.5000 x2  2 Si 2.32